## Mg2AlPt (GGA-PBE)

Data for a relaxed structure of Mg2AlPt.

It has space group Cmmm (No. 65), with a = 5.7528 Å, b = 7.8757 Å, c = 3.0179 Å, α = 90.00°, β = 90.00° and γ = 90.00°. The distinct sites, in fractional coordinates, are Mg at (0.2500, 0.2500, 0.0000), Al at (0.0000, 0.0000, 0.5000) and Pt at (0.0000, 0.5000, 0.5000).

The density of states at the Fermi level comes out at 1.278 states/eV/f.u. The spin magnetization is 0.00 μB/f.u. The final energy is -3.69 eV per atom.

## Ac2DyGe3Pt4 (GGA-PBE)

Data for a relaxed structure of Ac2DyGe3Pt4.

It has space group P-4m2 (No. 115), with a = 4.4515 Å, b = 4.4515 Å, c = 11.1326 Å, α = 90.00°, β = 90.00° and γ = 90.00°. The distinct sites, in fractional coordinates, are Ac at (0.0000, 0.5000, 0.2295), Dy at (0.0000, 0.0000, 0.5000), Ge at (0.0000, 0.5000, 0.8825), Ge at (0.5000, 0.5000, 0.5000), Pt at (0.0000, 0.0000, 0.0000), Pt at (0.0000, 0.5000, 0.6545) and Pt at (0.5000, 0.5000, 0.0000).

The density of states at the Fermi level comes out at 5.712 states/eV/f.u. The spin magnetization is 0.00 μB/f.u. The final energy is -6.07 eV per atom.

## LaGaIr (GGA-PBE)

Data for a relaxed structure of LaGaIr.

It has space group P3m1 (No. 156), with a = 4.3779 Å, b = 4.3779 Å, c = 4.0857 Å, α = 90.00°, β = 90.00° and γ = 120.00°. The distinct sites, in fractional coordinates, are La at (0.0000, 0.0000, 0.0000), Ga at (0.3333, 0.6667, 0.5004) and Ir at (0.6667, 0.3333, 0.5022).

The density of states at the Fermi level comes out at 2.192 states/eV/f.u. The spin magnetization is 0.00 μB/f.u. The final energy is -6.33 eV per atom.

## U2MnRe (GGA-PBE)

Data for a relaxed structure of U2MnRe.

It has space group R-3m (No. 166, hexagonal axes), with a = 2.9023 Å, b = 2.9023 Å, c = 28.6131 Å, α = 90.00°, β = 90.00° and γ = 120.00°. The distinct sites, in fractional coordinates, are U at (0.0000, 0.0000, 0.0914), Mn at (0.0000, 0.0000, 0.5000) and Re at (0.0000, 0.0000, 0.0000).

The density of states at the Fermi level comes out at 7.276 states/eV/f.u. The spin magnetization is 0.00 μB/f.u. The energy above the lowest structure with this stoichiometry is 120.2 meV/atom.

Repeat the fourth record exactly.
## U2MnRe (GGA-PBE)

Data for a relaxed structure of U2MnRe.

It has space group R-3m (No. 166, hexagonal axes), with a = 2.9023 Å, b = 2.9023 Å, c = 28.6131 Å, α = 90.00°, β = 90.00° and γ = 120.00°. The distinct sites, in fractional coordinates, are U at (0.0000, 0.0000, 0.0914), Mn at (0.0000, 0.0000, 0.5000) and Re at (0.0000, 0.0000, 0.0000).

The density of states at the Fermi level comes out at 7.276 states/eV/f.u. The spin magnetization is 0.00 μB/f.u. The energy above the lowest structure with this stoichiometry is 120.2 meV/atom.

Question: Number 1 is which compound?
Answer: Mg2AlPt